DFT (GGA-PBE) results for a relaxed structure of ZrTe2IN.

Total magnetic moment (μB per formula unit): 2.9
Total energy (Ry/atom): -0.3123
Space group: P4/mmm (123)
Theoretical density (Mg/m³): 4.38
Energy relative to the elements, uncorrected (eV per atom): 0.693

a b c (Å): 5.600 5.600 5.887
angles (deg): 90.00 90.00 90.00
Element x y z (fractional)
I (0.000, 0.000, 0.500)
Te (0.000, 0.500, 0.000)
Te (0.500, 0.000, 0.000)
Zr (0.000, 0.000, 0.000)
N (0.500, 0.500, 0.500)